VASP calculation (GGA+U) on a relaxed TaMoIO2 crystal.

Values from the calculation:
Total magnetization ... 5.43 μB/cell
Polymorph energy (0 for the lowest one) ... 4.93 eV/f.u.

Cell lengths 3.9540, 3.9540, 7.7081 Å; angles 90.00, 90.00, 90.00 degrees
Last column: nearest neighbours and their distance in Å.
Element x y z (fractional)
I1 0.0000 0.0000 0.5000  4 Ta 2.80
Mo1 0.0000 0.0000 0.0000  4 O 1.98
O1 0.5000 0.0000 0.0000  2 Mo 1.98
O2 0.0000 0.5000 0.0000  2 Mo 1.98
Ta1 0.5000 0.5000 0.5000  4 I 2.80